No. 1
DFT (PBE) results for a relaxed structure of Ta2CrCd.

total energy: -33.119 eV per formula unit
volume: 17.38 A^3/atom
SG: Cmm2, No. 35

Unit cell a=2.8257 b=2.8257 c=9.2595 alpha=90.00 beta=90.00 gamma=109.94
Last column: nearest neighbours and their distance in Å.
Fractional positions:
Cd (0.0000, 0.0000, 0.5167)  4 Cd 2.83, 2 Cr 2.83, 2 Ta 3.06
Cr (0.5000, 0.5000, 0.7669)  2 Ta 2.55, 4 Cr 2.83, 2 Cd 2.83
Ta (0.5000, 0.5000, 0.2371)  6 Ta 2.83-2.89, 2 Cd 3.06
Ta (0.0000, 0.0000, 0.9793)  2 Cr 2.55, 4 Ta 2.83

No. 2
DFT (PBE) results for a relaxed structure of Ta2CrCd.

total energy: -32.962 eV per formula unit
volume: 17.21 A^3/atom
SG: P2/m, No. 10

Unit cell a=4.2032 b=2.8572 c=5.9822 alpha=73.40 beta=90.00 gamma=90.00
Last column: nearest neighbours and their distance in Å.
Fractional positions:
Ta (0.0000, 0.9494, 0.9707)  2 Cr 2.63, 3 Ta 2.71-2.86
Ta (0.0000, 0.5506, 0.5293)  2 Cr 2.63, 3 Ta 2.71-2.86
Cr (0.5000, 0.7500, 0.7500)  4 Ta 2.63, 2 Cr 2.86, 2 Cd 2.92
Cd (0.5000, 0.2500, 0.2500)  2 Cd 2.86, 2 Cr 2.92, 8 Ta 2.96-3.05

No. 3
DFT (PBE) results for a relaxed structure of Ta2CrCd.

total energy: -32.393 eV per formula unit
volume: 17.46 A^3/atom
SG: F-43m, No. 216

Unit cell a=4.6223 b=4.6223 c=4.6223 alpha=60.00 beta=60.00 gamma=60.00
Last column: nearest neighbours and their distance in Å.
Fractional positions:
Ta (0.2500, 0.2500, 0.2500)  4 Cd 2.83, 4 Ta 2.83
Ta (0.0000, 0.0000, 0.0000)  4 Cr 2.83, 4 Ta 2.83
Cr (0.7500, 0.7500, 0.7500)  4 Cd 2.83, 4 Ta 2.83
Cd (0.5000, 0.5000, 0.5000)  4 Cr 2.83, 4 Ta 2.83

No. 4
DFT (PBE) results for a relaxed structure of Ta2CrCd.

total energy: -30.734 eV per formula unit
volume: 19.18 A^3/atom
SG: I-42d, No. 122

Unit cell a=3.9202 b=3.9202 c=10.3628 alpha=79.10 beta=79.10 gamma=90.00
Last column: nearest neighbours and their distance in Å.
Fractional positions:
Cr (0.2500, 0.7500, 0.5000)  4 Cd 2.77, 4 Ta 2.84
Cr (0.5000, 0.5000, 0.0000)  4 Cd 2.77, 4 Ta 2.84
Cd (0.7500, 0.2500, 0.5000)  4 Cr 2.77, 4 Ta 2.87
Cd (0.0000, 0.0000, 0.0000)  4 Cr 2.77, 4 Ta 2.87
Ta (0.3750, 0.3845, 0.7500)  4 Ta 2.72-2.83, 2 Cr 2.84, 2 Cd 2.87
Ta (0.8750, 0.8655, 0.7500)  4 Ta 2.72-2.83, 2 Cr 2.84, 2 Cd 2.87
Ta (0.1345, 0.6250, 0.2500)  4 Ta 2.72-2.83, 2 Cr 2.84, 2 Cd 2.87
Ta (0.6155, 0.1250, 0.2500)  4 Ta 2.72-2.83, 2 Cr 2.84, 2 Cd 2.87

No. 5
DFT (PBE) results for a relaxed structure of Ta2CrCd.

total energy: -32.568 eV per formula unit
volume: 17.08 A^3/atom
SG: C2/m, No. 12

Unit cell a=5.4218 b=5.4218 c=2.7399 alpha=81.06 beta=81.06 gamma=117.26
Last column: nearest neighbours and their distance in Å.
Fractional positions:
Ta (0.0000, 0.0000, 0.0000)  4 Ta 2.74-2.82, 2 Cr 2.84, 2 Cd 2.84
Ta (0.5000, 0.5000, 0.0000)  4 Ta 2.74-2.82, 2 Cd 2.84, 2 Cr 2.84
Cd (0.5000, 0.0000, 0.5000)  2 Cd 2.74, 2 Cr 2.82, 4 Ta 2.84
Cr (0.0000, 0.5000, 0.5000)  2 Cr 2.74, 2 Cd 2.82, 4 Ta 2.84

No. 6
DFT (PBE) results for a relaxed structure of TaCrCd.

total energy: -18.451 eV per formula unit
volume: 21.39 A^3/atom
SG: F-43m, No. 216

Unit cell a=4.4938 b=4.4938 c=4.4938 alpha=60.00 beta=60.00 gamma=60.00
Last column: nearest neighbours and their distance in Å.
Fractional positions:
Cr (0.5000, 0.5000, 0.5000)  4 Ta 2.75
Ta (0.2500, 0.2500, 0.2500)  4 Cr 2.75, 4 Cd 2.75
Cd (0.0000, 0.0000, 0.0000)  4 Ta 2.75

Q: The lowest total energy belongs to which entry?
A: number 1